Entry 1:
The following is a PBE-GGA calculation of an optimized crystal structure of PmTlPd, from Alexandria.

Cell: 6.8315 6.8315 6.8315 Å, 90.00 90.00 90.00°
Last column: nearest neighbours and their distance in Å.
Space group F-43m (No. 216)
Symmetry-distinct sites (fractional):
Pm: 0.0000 0.0000 0.0000 (multiplicity 4)  4 Pd 2.96
Tl: 0.0000 0.0000 0.5000 (multiplicity 4)  4 Pd 2.96
Pd: 0.2500 0.2500 0.2500 (multiplicity 4)  4 Tl 2.96, 4 Pm 2.96

Output
* relative energy among the computed polymorphs: 120 meV per atom
* formation energy from the elements: -511 meV/atom


Entry 2:
The following is a PBE-GGA calculation of an optimized crystal structure of Ce2Pu4Bi3H2, from Alexandria.

Cell: 3.6786 3.6786 32.0806 Å, 90.00 90.00 90.00°
Last column: nearest neighbours and their distance in Å.
Space group I4/mmm (No. 139)
Symmetry-distinct sites (fractional):
Ce: 0.0000 0.0000 0.2301 (multiplicity 4)  4 Ce 2.90
Pu: 0.0000 0.5000 0.0854 (multiplicity 8)  2 H 2.24
Bi: 0.0000 0.0000 0.3324 (multiplicity 4)  4 Pu 3.21, 5 Ce 3.28-3.29
Bi: 0.0000 0.0000 0.5000 (multiplicity 2)  8 H 2.99, 8 Pu 3.30
H: 0.0000 0.0000 0.0458 (multiplicity 4)  4 Pu 2.24


Entry 3:
The following is a PBE-GGA calculation of an optimized crystal structure of KZn4As, from Alexandria.

Cell: 7.8416 7.8416 7.8416 Å, 90.00 90.00 90.00°
Last column: nearest neighbours and their distance in Å.
Space group F-43m (No. 216)
Symmetry-distinct sites (fractional):
K: 0.0000 0.0000 0.0000 (multiplicity 4)  12 Zn 3.25, 4 As 3.40
Zn: 0.1234 0.1234 0.6234 (multiplicity 16)  6 Zn 2.74-2.81
As: 0.2500 0.2500 0.2500 (multiplicity 4)  12 Zn 3.25, 4 K 3.40

Output
* formation energy from the elements: 167 meV/atom


Entry 4:
The following is a PBE-GGA calculation of an optimized crystal structure of Mn2ZnCdSe, from Alexandria.

Cell: 4.6283 4.6283 5.4058 Å, 90.00 90.00 90.00°
Last column: nearest neighbours and their distance in Å.
Space group P4/mmm (No. 123)
Symmetry-distinct sites (fractional):
Mn: 0.0000 0.5000 0.0000 (multiplicity 2)  2 Se 2.31
Zn: 0.0000 0.0000 0.5000 (multiplicity 1)  4 Cd 3.27, 8 Mn 3.56
Cd: 0.5000 0.5000 0.5000 (multiplicity 1)  2 Se 2.70
Se: 0.5000 0.5000 0.0000 (multiplicity 1)  4 Mn 2.31


Number 1: total DFT energy (no corrections) -55.4 eV for the cell shown, DOS(E_F) 1.52 states/eV per atom. Number 2: total DFT energy (no corrections) -168.8 eV for the cell shown, DOS(E_F) 2.27 states/eV per atom. Number 3: total DFT energy (no corrections) -39.4 eV for the cell shown, DOS(E_F) 0.52 states/eV per atom. Number 4: total DFT energy (no corrections) -21.0 eV for the cell shown, DOS(E_F) 0.64 states/eV per atom.